Material: GdTmAl
Method: DFT, PBE
State: relaxed

Output
* total magnetic moment: 0.38 μB/cell
* distance to the lowest polymorph of the same formula: 2.41 eV per formula unit

```
data_GdTmAl
_space_group_name_H-M_alt 'F -4 3 m'
_space_group_IT_number 216
_space_group_name_Hall 'F -4 2 3'
_cell_length_a 7.1352
_cell_length_b 7.1352
_cell_length_c 7.1352
_cell_angle_alpha 90.00
_cell_angle_beta 90.00
_cell_angle_gamma 90.00
loop_
_atom_site_label
_atom_site_type_symbol
_atom_site_fract_x
_atom_site_fract_y
_atom_site_fract_z
Gd1 Gd 0.0000 0.0000 0.0000
Tm1 Tm 0.2500 0.2500 0.7500
Al1 Al 0.0000 0.0000 0.5000
```